No. 1
The following is a PBE calculation of a geometry-optimized Er6AlP2Se3 structure, from the Alexandria database.

Lattice parameters (Å, degrees): 9.0972 9.0972 8.2399 103.55 103.55 25.26
Fractional positions:
Er1 0.0043 0.0043 0.2540
Er2 0.3274 0.3274 0.4289
Er3 0.3335 0.3335 0.9022
Er4 0.6665 0.6665 0.0978
Er5 0.6726 0.6726 0.5711
Er6 0.9957 0.9957 0.7460
Al1 0.5000 0.5000 0.0000
P1 0.1677 0.1677 0.3361
P2 0.8323 0.8323 0.6639
Se1 0.1677 0.1677 0.8307
Se2 0.5000 0.5000 0.5000
Se3 0.8323 0.8323 0.1693

Density = 7.82 g cm⁻³
DOS at the Fermi energy = 3.2 states/eV per cell
Raw total energy = -5.8328 eV per atom



No. 2
The following is a PBE calculation of a geometry-optimized ErPaAl4 structure, from the Alexandria database.

Lattice parameters (Å, degrees): 5.5313 5.5313 5.5313 60.00 60.00 60.00
Fractional positions:
Er1 0.0000 0.0000 0.0000
Pa1 0.7500 0.7500 0.7500
Al1 0.3755 0.3755 0.3755
Al2 0.3755 0.3755 0.8735
Al3 0.3755 0.8735 0.3755
Al4 0.8735 0.3755 0.3755

Density = 7.02 g cm⁻³
DOS at the Fermi energy = 4.8 states/eV per cell
Calculated formation energy = -32.6 kJ per mole of atoms